Record 1
A relaxed BeBiPt3 crystal, computed with PBE.

* energy of formation from the pure elements: -0.28 eV per atom
* energy relative to the lowest polymorph listed for this composition: 152 meV/atom

Geometry as POSCAR:
```
BeBiPt3
1.0
-5.6222 -14.0599 4.0388
0.5957 -7.2184 1.0242
3.0684 6.4729 1.4815
Pt Bi Be
6 2 2
direct
0.8046 0.5352 0.4648 Pt
0.5049 0.6856 0.3144 Pt
0.4951 0.3144 0.6856 Pt
0.1954 0.4648 0.5352 Pt
0.2356 0.7972 0.2028 Pt
0.7644 0.2028 0.7972 Pt
0.7425 0.8491 0.1509 Bi
0.2575 0.1509 0.8491 Bi
0.0714 0.1283 0.8717 Be
0.9286 0.8717 0.1283 Be
```

Record 2
A relaxed Ac2AgC2N6 crystal, computed with PBE.

* electronic total energy: -82.5 eV for the cell shown

Geometry as POSCAR:
```
Ac2AgC2N6
1.0
6.5914 -2.1290 0.4653
1.6261 3.4922 1.1862
0.8955 -1.7631 5.3572
N Ac C Ag
6 2 2 1
direct
0.7812 0.7239 0.4894 N
0.6334 0.7114 0.1717 N
0.3666 0.2886 0.8283 N
0.0703 0.6710 0.8157 N
0.9297 0.3290 0.1843 N
0.2188 0.2761 0.5106 N
0.1998 0.7978 0.1905 Ac
0.8002 0.2022 0.8095 Ac
0.7824 0.5785 0.2778 C
0.2176 0.4215 0.7222 C
0.5000 0.0000 0.5000 Ag
```

Record 3
A relaxed Ac2SnSb crystal, computed with PBE.

* energy relative to the lowest polymorph listed for this composition: 97 meV/atom

Geometry as POSCAR:
```
Ac2SnSb
1.0
6.7986 0.0000 0.0000
0.0000 6.7934 0.2700
0.0000 -0.5258 13.6144
Sb Ac Sn
4 8 4
direct
0.2501 0.4997 0.1250 Sb
0.7499 0.5003 0.8750 Sb
0.7499 0.9997 0.6250 Sb
0.2501 0.0003 0.3750 Sb
0.7499 0.4998 0.6291 Ac
0.2501 0.9998 0.1291 Ac
0.2501 0.5002 0.3709 Ac
0.2499 0.5007 0.8790 Ac
0.2499 0.9993 0.6210 Ac
0.7501 0.0007 0.3790 Ac
0.7501 0.4993 0.1210 Ac
0.7499 0.0002 0.8709 Ac
0.7501 0.9992 0.1249 Sn
0.7501 0.5008 0.3751 Sn
0.2499 0.4992 0.6249 Sn
0.2499 0.0008 0.8751 Sn
```

Record 4
A relaxed Tl2CrNi crystal, computed with PBE.

* energy of formation from the pure elements: 0.65 eV per atom
* energy relative to the lowest polymorph listed for this composition: 231 meV/atom

Geometry as POSCAR:
```
Tl2CrNi
1.0
4.8437 0.0000 0.0000
2.4218 4.1948 0.0000
2.4218 1.3983 3.9549
Tl Cr Ni
2 1 1
direct
0.0000 0.0000 0.0000 Tl
0.2500 0.2500 0.2500 Tl
0.5000 0.5000 0.5000 Cr
0.7500 0.7500 0.7500 Ni
```

Record 5
A relaxed ZrAs2Au crystal, computed with PBE.

* energy of formation from the pure elements: -0.49 eV per atom

Geometry as POSCAR:
```
ZrAs2Au
1.0
-1.8060 -4.8746 -2.1098
0.6658 -5.5446 0.5365
-3.0150 -0.6216 2.6588
Au As Zr
1 2 1
direct
0.4921 0.4921 0.5862 Au
0.7304 0.7304 0.6665 As
0.9959 0.9959 0.0967 As
0.2816 0.2816 0.1506 Zr
```

Record 6
A relaxed Pr7Cd2Ni2 crystal, computed with PBE.

* energy of formation from the pure elements: -0.14 eV per atom
* energy relative to the lowest polymorph listed for this composition: 0 meV/atom

Geometry as POSCAR:
```
Pr7Cd2Ni2
1.0
3.7199 0.0000 0.6787
1.2543 8.8843 3.6589
0.1551 -0.3087 9.6836
Cd Pr Ni
2 7 2
direct
0.0000 0.6289 0.3711 Cd
0.5000 0.4098 0.5902 Cd
0.1316 0.7523 0.9845 Pr
0.8684 0.0155 0.2477 Pr
0.6800 0.4076 0.2323 Pr
0.5000 0.1088 0.8912 Pr
0.1619 0.1420 0.5342 Pr
0.3200 0.7677 0.5924 Pr
0.8381 0.4658 0.8580 Pr
0.3156 0.2622 0.1067 Ni
0.6844 0.8933 0.7378 Ni
```

Record 7
A relaxed K2H7 crystal, computed with PBE.

* electronic total energy: -19.8 eV for the cell shown

Geometry as POSCAR:
```
K2H7
1.0
4.6230 0.0000 2.6691
1.5410 4.3586 2.6691
0.0000 0.0000 5.3381
H K
7 2
direct
0.1629 0.8371 0.1629 H
0.8371 0.1629 0.8371 H
0.8371 0.8371 0.1629 H
0.1629 0.1629 0.8371 H
0.1629 0.8371 0.8371 H
0.0000 0.0000 0.0000 H
0.8371 0.1629 0.1629 H
0.2500 0.2500 0.2500 K
0.7500 0.7500 0.7500 K
```

Record 8
A relaxed Sm6Dy3Ho2 crystal, computed with PBE.

* energy of formation from the pure elements: 0.29 eV per atom

Geometry as POSCAR:
```
Sm6Dy3Ho2
1.0
-4.7060 0.6895 0.1143
-0.1603 -0.3075 -4.7449
0.0417 -16.7043 3.4662
Ho Sm Dy
2 6 3
direct
0.5454 0.5454 0.0908 Ho
0.4546 0.4546 0.9092 Ho
0.8797 0.3797 0.7594 Sm
0.6987 0.6987 0.3974 Sm
0.3013 0.3013 0.6026 Sm
0.1203 0.6203 0.2406 Sm
0.3797 0.8797 0.7594 Sm
0.6203 0.1203 0.2406 Sm
0.1986 0.1986 0.3972 Dy
0.8014 0.8014 0.6028 Dy
0.0000 0.0000 0.0000 Dy
```

Record 9
A relaxed Cs2Ce2AgS6 crystal, computed with PBE.

* electronic total energy: -55.3 eV for the cell shown

Geometry as POSCAR:
```
Cs2Ce2AgS6
1.0
-2.2135 6.1488 -2.8513
-1.4988 -6.3122 -2.9574
-5.7956 -0.3854 6.2259
Ag S Cs Ce
1 6 2 2
direct
0.0000 0.0000 0.5000 Ag
0.4154 0.0558 0.6844 S
0.9442 0.5846 0.3156 S
0.7397 0.7397 0.6623 S
0.5846 0.9442 0.3156 S
0.0558 0.4154 0.6844 S
0.2603 0.2603 0.3377 S
0.1562 0.8438 0.0000 Cs
0.8438 0.1562 0.0000 Cs
0.6659 0.3341 0.5000 Ce
0.3341 0.6659 0.5000 Ce
```

Record 10
A relaxed B5C7 crystal, computed with PBE.

* energy of formation from the pure elements: 0.31 eV per atom
* energy relative to the lowest polymorph listed for this composition: 52 meV/atom

Geometry as POSCAR:
```
B5C7
1.0
-2.3794 1.1574 0.4506
0.5083 -1.1427 -2.3748
-5.4255 -13.1684 5.1754
B C
5 7
direct
0.6667 0.3333 0.8880 B
0.6667 0.3333 0.1634 B
0.6667 0.3333 0.6541 B
0.0000 0.0000 0.4963 B
0.6667 0.3333 0.3782 B
0.3333 0.6667 0.1492 C
0.3333 0.6667 0.6427 C
0.0000 0.0000 0.0081 C
0.3333 0.6667 0.5395 C
0.0000 0.0000 0.9010 C
0.0000 0.0000 0.3868 C
0.3333 0.6667 0.0427 C
```

Record 11
A relaxed Th3Mg4In2 crystal, computed with PBE.

* energy of formation from the pure elements: -0.14 eV per atom

Geometry as POSCAR:
```
Th3Mg4In2
1.0
-1.8615 -3.3874 -3.4233
4.9546 3.1933 -1.9604
1.3475 -7.1098 6.3026
Mg In Th
4 2 3
direct
0.0614 0.1228 0.3938 Mg
0.9386 0.8772 0.6062 Mg
0.2813 0.5626 0.9472 Mg
0.7187 0.4374 0.0528 Mg
0.6115 0.2230 0.2783 In
0.3885 0.7770 0.7217 In
0.0000 0.0000 0.0000 Th
0.3350 0.6700 0.3315 Th
0.6650 0.3300 0.6685 Th
```

Record 12
A relaxed DyYH2 crystal, computed with PBE.

* energy relative to the lowest polymorph listed for this composition: 232 meV/atom

Geometry as POSCAR:
```
DyYH2
1.0
3.4989 0.0000 0.0000
1.7495 3.0301 0.0000
1.7495 1.0100 5.8584
H Y Dy
2 1 1
direct
0.2585 0.2585 0.2245 H
0.0787 0.0787 0.7638 H
0.6714 0.6714 0.9858 Y
0.4914 0.4914 0.5259 Dy
```

Record 13
A relaxed U3Cu2Sb3 crystal, computed with PBE.

* electronic total energy: -110.8 eV for the cell shown

Geometry as POSCAR:
```
U3Cu2Sb3
1.0
-2.2852 3.7170 -0.7320
1.5439 -2.3557 -3.4119
-19.4928 -12.0790 -0.4809
Sb U Cu
6 6 4
direct
0.0000 0.0000 0.0000 Sb
0.0000 0.0000 0.5000 Sb
0.6667 0.3333 0.1597 Sb
0.6667 0.3333 0.3403 Sb
0.3333 0.6667 0.6597 Sb
0.3333 0.6667 0.8403 Sb
0.6667 0.3333 0.9213 U
0.6667 0.3333 0.5787 U
0.3333 0.6667 0.2500 U
0.3333 0.6667 0.0787 U
0.3333 0.6667 0.4213 U
0.6667 0.3333 0.7500 U
0.0000 0.0000 0.1904 Cu
0.0000 0.0000 0.3096 Cu
0.0000 0.0000 0.8096 Cu
0.0000 0.0000 0.6904 Cu
```

Record 14
A relaxed Pu2ZnOs crystal, computed with PBE.

* energy of formation from the pure elements: 0.39 eV per atom

Geometry as POSCAR:
```
Pu2ZnOs
1.0
2.8813 0.0000 0.0000
1.4407 2.4953 0.0000
1.4407 0.8318 11.0526
Zn Pu Os
1 2 1
direct
0.0000 0.0000 0.0000 Zn
0.0927 0.0927 0.7218 Pu
0.9073 0.9073 0.2782 Pu
0.5000 0.5000 0.5000 Os
```

Record 15
A relaxed La3Pm2Tl4 crystal, computed with PBE.

* energy of formation from the pure elements: -0.29 eV per atom
* energy relative to the lowest polymorph listed for this composition: 47 meV/atom

Geometry as POSCAR:
```
La3Pm2Tl4
1.0
6.4299 0.0712 0.0510
0.5208 9.7303 0.1174
0.5208 3.2464 9.1735
Pm La Tl
4 6 8
direct
0.3656 0.8492 0.5936 Pm
0.8656 0.5936 0.8492 Pm
0.1344 0.4064 0.1508 Pm
0.6344 0.1508 0.4064 Pm
0.2500 0.5416 0.4584 La
0.5882 0.2089 0.0140 La
0.7500 0.4584 0.5416 La
0.0882 0.0140 0.2089 La
0.4118 0.7911 0.9860 La
0.9118 0.9860 0.7911 La
0.5642 0.8585 0.2790 Tl
0.8807 0.8034 0.5266 Tl
0.0642 0.2790 0.8585 Tl
0.4358 0.1415 0.7210 Tl
0.1193 0.1966 0.4734 Tl
0.6193 0.4734 0.1966 Tl
0.9358 0.7210 0.1415 Tl
0.3807 0.5266 0.8034 Tl
```

Record 16
A relaxed AgSBr6 crystal, computed with PBE.

* electronic total energy: -16.4 eV for the cell shown

Geometry as POSCAR:
```
AgSBr6
1.0
6.7301 0.0112 0.0179
3.3596 5.8696 0.0352
3.3650 1.9709 5.9536
Ag Br S
1 6 1
direct
0.5000 0.5000 0.5000 Ag
0.6178 0.2298 0.2410 Br
0.9101 0.6153 0.2422 Br
0.2316 0.9095 0.2428 Br
0.7684 0.0905 0.7572 Br
0.0899 0.3847 0.7578 Br
0.3822 0.7702 0.7590 Br
0.0000 0.0000 0.0000 S
```

Record 17
A relaxed FeTcP crystal, computed with PBE.

* energy of formation from the pure elements: -0.25 eV per atom
* energy relative to the lowest polymorph listed for this composition: 327 meV/atom

Geometry as POSCAR:
```
FeTcP
1.0
3.8580 0.0000 0.0000
1.9290 3.3411 0.0000
1.9290 1.1137 3.1500
Fe Tc P
1 1 1
direct
0.5000 0.5000 0.5000 Fe
0.0000 0.0000 0.0000 Tc
0.7500 0.7500 0.7500 P
```

Record 18
A relaxed CaHf2Cu2 crystal, computed with PBE.

* energy of formation from the pure elements: 0.12 eV per atom
* energy relative to the lowest polymorph listed for this composition: 4 meV/atom

Geometry as POSCAR:
```
CaHf2Cu2
1.0
8.1895 0.0000 0.0000
0.0000 8.1895 0.0000
0.0000 0.0000 2.9275
Hf Ca Cu
4 2 4
direct
0.8708 0.6292 0.0000 Hf
0.3708 0.8708 0.0000 Hf
0.6292 0.1292 0.0000 Hf
0.1292 0.3708 0.0000 Hf
0.0000 0.0000 0.0000 Ca
0.5000 0.5000 0.0000 Ca
0.8325 0.3325 0.5000 Cu
0.1675 0.6675 0.5000 Cu
0.3325 0.1675 0.5000 Cu
0.6675 0.8325 0.5000 Cu
```

Record 19
A relaxed Tc4IrBr crystal, computed with PBE.

* electronic total energy: -46.1 eV for the cell shown

Geometry as POSCAR:
```
Tc4IrBr
1.0
2.9129 -4.2636 0.1835
-2.2390 -4.6490 0.2653
0.1739 -3.1869 -4.0633
Ir Tc Br
1 4 1
direct
0.0000 0.0000 0.0000 Ir
0.8777 0.3741 0.3741 Tc
0.3741 0.3741 0.8777 Tc
0.3741 0.3741 0.3741 Tc
0.3741 0.8777 0.3741 Tc
0.7500 0.7500 0.7500 Br
```

Record 20
A relaxed CsKGa crystal, computed with PBE.

* energy of formation from the pure elements: -0.02 eV per atom

Geometry as POSCAR:
```
CsKGa
1.0
4.4007 -1.4928 0.1189
-2.0737 8.3641 -1.1477
0.8481 -3.8293 10.2847
Cs Ga K
2 2 2
direct
0.2654 0.6213 0.7765 Cs
0.8597 0.5365 0.3970 Cs
0.7497 0.0279 0.6073 Ga
0.3729 0.1300 0.5659 Ga
0.2899 0.2147 0.9164 K
0.8345 0.9428 0.2568 K
```

Magnetization: 0.00; 0.00; 0.00; 4.30; 0.00; 0.00; 0.00; 0.00; 0.00; 0.00; 0.00; 0.00; 8.64; 9.20; 0.14; 0.00; 1.66; 0.00; 0.00; 0.00 (μB/f.u.)
V: 17.1; 13.7; 39.4; 20.1; 19.7; 29.4; 12.0; 34.4; 32.3; 7.9; 26.5; 15.5; 24.3; 19.9; 31.7; 29.3; 13.5; 19.6; 16.3; 54.8 (Å³ per atom)